No. 1
GGA-PBEsol CaBe2P2, relaxed; E_form = -3.43 eV/f.u.; total magnetization = 0.00 μB per formula unit; SG = I4/mmm, No. 139
1.0
-1.787 1.787 5.990
1.787 -1.787 5.990
1.787 1.787 -5.990
Ca Be P
1 2 2
Direct
0.000 0.000 0.000
0.250 0.750 0.500
0.750 0.250 0.500
0.358 0.358 0.000
0.642 0.642 0.000


No. 2
GGA-PBEsol BaTc2Te, relaxed; total magnetization = 0.01 μB per formula unit; SG = C2/m, No. 12; formation energy (no corrections) = 1018 meV/atom
1.0
3.203 -4.603 0.000
3.203 4.603 0.000
-1.499 0.000 2.778
Ba Tc Te
1 2 1
Direct
0.000 0.000 0.000
0.000 0.500 0.000
0.500 0.000 0.000
0.500 0.500 0.000


No. 3
GGA-PBEsol LiErTl2, relaxed; E_form = -1.49 eV/f.u.; total magnetization = 0.00 μB per formula unit; SG = Fm-3m, No. 225
1.0
0.000 3.583 3.583
3.583 0.000 3.583
3.583 3.583 0.000
Li Er Tl
1 1 2
Direct
0.000 0.000 0.000
0.500 0.500 0.500
0.250 0.250 0.250
0.750 0.750 0.750


No. 4
GGA-PBEsol Ba2LaAs, relaxed; E_form = -1.45 eV/f.u.; total magnetization = 0.00 μB per formula unit; SG = P4/mmm, No. 123
1.0
3.988 0.000 0.000
0.000 3.988 0.000
0.000 0.000 9.743
Ba La As
2 1 1
Direct
0.000 0.000 0.175
0.000 0.000 0.825
0.500 0.500 0.500
0.500 0.500 0.000


No. 5
GGA-PBEsol Li3AlTc, relaxed; E_form = 6.41 eV/f.u.; total magnetization = 1.89 μB per formula unit; SG = Pm-3m, No. 221
1.0
4.627 0.000 0.000
0.000 4.627 0.000
0.000 0.000 4.627
Li Al Tc
3 1 1
Direct
0.000 0.000 0.500
0.000 0.500 0.000
0.500 0.000 0.000
0.500 0.500 0.500
0.000 0.000 0.000


No. 6
GGA-PBEsol YMg3, relaxed; E_form = -0.28 eV/f.u.; total magnetization = 0.00 μB per formula unit; SG = I4/mmm, No. 139
1.0
-2.525 2.525 7.617
2.525 -2.525 7.617
2.525 2.525 -7.617
Y Mg
2 6
Direct
0.130 0.130 0.000
0.870 0.870 0.000
0.000 0.500 0.500
0.250 0.750 0.500
0.369 0.369 0.000
0.500 0.000 0.500
0.631 0.631 0.000
0.750 0.250 0.500


No. 7
GGA-PBEsol CrCd2Ir, relaxed; E_form = 1.24 eV/f.u.; total magnetization = 3.19 μB per formula unit; SG = C2/m, No. 12
1.0
4.745 -1.477 0.000
4.745 1.477 0.000
-0.996 0.000 4.650
Cr Cd Ir
1 2 1
Direct
0.000 0.000 0.000
0.248 0.248 0.748
0.752 0.752 0.252
0.500 0.500 0.500


No. 8
GGA-PBEsol Al2TcBr, relaxed; total magnetization = 0.00 μB per formula unit; SG = R3m, No. 160; formation energy (no corrections) = 197 meV/atom
1.0
1.486 0.858 9.155
-1.486 0.858 9.155
0.000 -1.716 9.155
Al Tc Br
2 1 1
Direct
0.000 0.000 0.000
0.251 0.251 0.251
0.510 0.510 0.510
0.776 0.776 0.776


No. 9
GGA-PBEsol HfAgH3, relaxed; total magnetization = 0.00 μB per formula unit; electronic total energy = -23.4 eV/f.u.; SG = Pm-3m, No. 221
1.0
3.726 0.000 0.000
0.000 3.726 0.000
0.000 0.000 3.726
Hf Ag H
1 1 3
Direct
0.000 0.000 0.000
0.500 0.500 0.500
0.000 0.000 0.500
0.000 0.500 0.000
0.500 0.000 0.000


No. 10
GGA-PBEsol Ti2CoNi, relaxed; E_form = -1.26 eV/f.u.; total magnetization = 0.00 μB per formula unit; SG = Imm2, No. 44
1.0
-3.809 3.823 5.395
3.809 -3.823 5.395
3.809 3.823 -5.395
Ti Co Ni
12 6 6
Direct
0.000 0.000 0.000
0.004 0.000 0.606
0.004 0.398 0.004
0.145 0.645 0.500
0.147 0.247 0.500
0.147 0.647 0.900
0.394 0.000 0.996
0.394 0.394 0.000
0.394 0.398 0.394
0.746 0.246 0.500
0.747 0.247 0.100
0.747 0.647 0.500
0.072 0.820 0.251
0.363 0.032 0.669
0.363 0.693 0.331
0.569 0.820 0.749
0.570 0.322 0.751
0.570 0.819 0.249
0.362 0.032 0.330
0.440 0.611 0.828
0.702 0.032 0.670
0.783 0.611 0.172
0.783 0.611 0.828
0.783 0.955 0.172


No. 11
GGA-PBEsol K2V2CoO7, relaxed; total magnetization = 3.00 μB per formula unit; SG = P-42_1m, No. 113; formation energy (no corrections) = -2072 meV/atom
1.0
8.372 0.000 0.000
0.000 8.372 0.000
0.000 0.000 5.567
K V Co O
4 4 2 14
Direct
0.161 0.339 0.010
0.339 0.839 0.990
0.661 0.161 0.990
0.839 0.661 0.010
0.143 0.643 0.546
0.357 0.143 0.454
0.643 0.857 0.454
0.857 0.357 0.546
0.000 0.000 0.500
0.500 0.500 0.500
0.000 0.500 0.656
0.090 0.825 0.665
0.144 0.644 0.248
0.175 0.090 0.335
0.325 0.590 0.665
0.356 0.144 0.752
0.410 0.325 0.335
0.500 0.000 0.344
0.590 0.675 0.335
0.644 0.856 0.752
0.675 0.410 0.665
0.825 0.910 0.335
0.856 0.356 0.248
0.910 0.175 0.665


No. 12
GGA-PBEsol Nb3SiIr, relaxed; total magnetization = 0.00 μB per formula unit; SG = Pm-3m, No. 221; formation energy (no corrections) = 783 meV/atom
1.0
4.530 0.000 0.000
0.000 4.530 0.000
0.000 0.000 4.530
Nb Si Ir
3 1 1
Direct
0.000 0.000 0.500
0.000 0.500 0.000
0.500 0.000 0.000
0.000 0.000 0.000
0.500 0.500 0.500